Entry from Alexandria via LeMat-Bulk: an optimized crystal structure of Ca3ZrAs (PBE).

Properties
ΔE_f ... 0.05 eV/atom
Relative energy among the computed polymorphs ... 0.00 eV/f.u.
Final energy ... -19.0 eV for the cell shown

Cell lengths 5.6153, 5.6153, 5.6153 Å; angles 90.00, 90.00, 90.00 degrees
Space group Pm-3m (No. 221)
One atom of each set of equivalent atoms:
Ca1 0.0000 0.0000 0.5000 (multiplicity 3)
Zr1 0.5000 0.5000 0.5000 (multiplicity 1)
As1 0.0000 0.0000 0.0000 (multiplicity 1)